Compound: ErAgTe2PbS
Source: OQMD via LeMat-Bulk
Functional: PBE-GGA
Structure: relaxed

Lattice parameters (Å, degrees): 4.341 14.577 10.367 90.00 90.00 90.00
Space group Cmcm (No. 63)
Asymmetric unit:
Er 0.000 0.000 0.000 [4 per cell]
Ag 0.000 0.482 0.250 [4 per cell]
Te 0.000 0.352 0.052 [8 per cell]
Pb 0.000 0.267 0.750 [4 per cell]
S 0.000 0.076 0.250 [4 per cell]

Crystal system ... orthorhombic
Final energy ... -105.25 eV per cell

---

Compound: TbErAg2Pb2
Source: OQMD via LeMat-Bulk
Functional: PBE-GGA
Structure: relaxed

Lattice parameters (Å, degrees): 4.8066 4.8066 7.4572 90.00 90.00 120.00
Space group P3m1 (No. 156)
Asymmetric unit:
Tb 0.0000 0.0000 0.0000 [1 per cell]
Er 0.0000 0.0000 0.5008 [1 per cell]
Ag 0.3333 0.6667 0.1835 [1 per cell]
Ag 0.6667 0.3333 0.6809 [1 per cell]
Pb 0.3333 0.6667 0.7775 [1 per cell]
Pb 0.6667 0.3333 0.2796 [1 per cell]

Crystal system ... trigonal
Final energy ... -24.66 eV per cell

---

Compound: ErAgTe3Pb
Source: OQMD via LeMat-Bulk
Functional: PBE-GGA
Structure: relaxed

Lattice parameters (Å, degrees): 12.522 4.492 12.790 90.00 90.00 90.00
Space group Pnma (No. 62)
Asymmetric unit:
Er 0.026 0.250 0.187 [4 per cell]
Ag 0.238 0.750 0.300 [4 per cell]
Te 0.025 0.750 0.361 [4 per cell]
Te 0.089 0.250 0.936 [4 per cell]
Te 0.228 0.750 0.671 [4 per cell]
Pb 0.189 0.250 0.485 [4 per cell]

Crystal system ... orthorhombic
Distance to the lowest polymorph of the same formula ... 0.070 eV per atom
Final energy ... -97.56 eV per cell

---

Compound: ErAgTe3Pb
Source: OQMD via LeMat-Bulk
Functional: PBE-GGA
Structure: relaxed

Lattice parameters (Å, degrees): 11.281 4.347 14.691 90.00 90.00 90.00
Space group Pnma (No. 62)
Asymmetric unit:
Er 0.021 0.250 0.243 [4 per cell]
Ag 0.240 0.250 0.720 [4 per cell]
Te 0.034 0.250 0.611 [4 per cell]
Te 0.071 0.750 0.100 [4 per cell]
Te 0.233 0.750 0.843 [4 per cell]
Pb 0.222 0.750 0.514 [4 per cell]

Crystal system ... orthorhombic
Distance to the lowest polymorph of the same formula ... 0.006 eV per atom
Final energy ... -99.08 eV per cell

---

Compound: ErAgTe3Pb
Source: OQMD via LeMat-Bulk
Functional: PBE-GGA
Structure: relaxed

Lattice parameters (Å, degrees): 12.467 4.508 12.752 90.00 90.00 90.00
Space group Pnma (No. 62)
Asymmetric unit:
Er 0.026 0.250 0.189 [4 per cell]
Ag 0.238 0.750 0.295 [4 per cell]
Te 0.026 0.750 0.363 [4 per cell]
Te 0.089 0.250 0.935 [4 per cell]
Te 0.224 0.750 0.670 [4 per cell]
Pb 0.192 0.250 0.479 [4 per cell]

Crystal system ... orthorhombic
Distance to the lowest polymorph of the same formula ... 0.071 eV per atom
Final energy ... -97.54 eV per cell

---

Compound: ErAgTe3Pb
Source: OQMD via LeMat-Bulk
Functional: PBE-GGA
Structure: relaxed

Lattice parameters (Å, degrees): 4.327 14.817 11.195 90.00 90.00 90.00
Space group Cmcm (No. 63)
Asymmetric unit:
Er 0.000 0.000 0.000 [4 per cell]
Ag 0.000 0.469 0.250 [4 per cell]
Te 0.000 0.092 0.250 [4 per cell]
Te 0.000 0.355 0.051 [8 per cell]
Pb 0.000 0.232 0.750 [4 per cell]

Crystal system ... orthorhombic
Distance to the lowest polymorph of the same formula ... 0.009 eV per atom
Final energy ... -99.02 eV per cell

---

Magnetic moment, respectively: 0.023 0.001 0.007 0.014 0.007 0.002 μB/cell.